Record 1
Li2InAgCl6 | the Alexandria database | GGA-PBE | relaxed; size of the total moment = 0.0 μB per cell; raw formation energy = -1.24 eV per atom
1.0
-0.939 6.414 1.084
-2.137 2.067 5.863
4.659 3.334 4.212
Li Cl Ag In
2 6 1 1
direct
0.519 0.519 0.443 Li
0.007 0.007 0.979 Li
0.733 0.130 0.752 Cl
0.240 0.927 0.240 Cl
0.385 0.734 0.752 Cl
0.594 0.239 0.240 Cl
0.927 0.593 0.240 Cl
0.130 0.385 0.752 Cl
0.802 0.803 0.592 Ag
0.324 0.324 0.027 In

=====

Record 2
AsI | the Alexandria database | GGA-PBE | relaxed; size of the total moment = 0.0 μB per cell; raw formation energy = 0.88 eV per atom
1.0
8.483 0.000 0.000
0.000 8.483 0.000
0.000 0.000 8.483
As I
6 6
direct
0.000 0.750 0.500 As
0.500 0.000 0.750 As
0.500 0.000 0.250 As
0.000 0.250 0.500 As
0.750 0.500 0.000 As
0.250 0.500 0.000 As
0.500 0.250 0.000 I
0.000 0.500 0.250 I
0.250 0.000 0.500 I
0.750 0.000 0.500 I
0.500 0.750 0.000 I
0.000 0.500 0.750 I

=====

Record 3
Ni2IrRh2 | the Alexandria database | GGA-PBE | relaxed; size of the total moment = 5.4 μB per cell; energy above the most stable polymorph in this dataset = 27.32 kJ/mol of atoms; energy of formation = 0.340 eV/atom
1.0
-6.581 2.287 -1.099
-2.331 -6.656 0.111
-0.388 0.181 2.698
Rh Ni Ir
4 4 2
direct
0.370 0.870 0.000 Rh
0.870 0.630 0.000 Rh
0.130 0.370 0.000 Rh
0.630 0.130 0.000 Rh
0.332 0.168 0.500 Ni
0.832 0.332 0.500 Ni
0.168 0.668 0.500 Ni
0.668 0.832 0.500 Ni
0.500 0.500 0.000 Ir
0.000 0.000 0.000 Ir

=====

Record 4
KYPb | the Alexandria database | GGA-PBE | relaxed; size of the total moment = 0.0 μB per cell; energy above the most stable polymorph in this dataset = 8.59 kJ/mol of atoms; energy of formation = -0.201 eV/atom
1.0
5.307 -0.001 0.004
2.655 4.593 0.002
-0.001 -3.062 9.763
Y Pb K
2 2 2
direct
0.474 0.460 0.712 Y
0.075 0.258 0.908 Y
0.734 0.939 0.929 Pb
0.180 0.049 0.595 Pb
0.321 0.766 0.171 K
0.903 0.603 0.425 K

=====

Please write out number 2 again, unchanged.
AsI | the Alexandria database | GGA-PBE | relaxed; size of the total moment = 0.0 μB per cell; raw formation energy = 0.88 eV per atom
1.0
8.483 0.000 0.000
0.000 8.483 0.000
0.000 0.000 8.483
As I
6 6
direct
0.000 0.750 0.500 As
0.500 0.000 0.750 As
0.500 0.000 0.250 As
0.000 0.250 0.500 As
0.750 0.500 0.000 As
0.250 0.500 0.000 As
0.500 0.250 0.000 I
0.000 0.500 0.250 I
0.250 0.000 0.500 I
0.750 0.000 0.500 I
0.500 0.750 0.000 I
0.000 0.500 0.750 I

=====

> size of the total moment of number 2 (AsI)?

0.0 μB per cell